1.
Here is K2US2Br4 after structural relaxation from the Alexandria database. Energies are from PBE.

Its uncorrected formation energy is -1.34 eV per atom. For the calculated volume, the calculation gives 34.7 Å³/atom. The value obtained for the size of the total moment is 0.00 μB/f.u.

It has space group C2/m (No. 12), with a = 12.858 Å, b = 7.669 Å, c = 7.741 Å, α = 90.00°, β = 125.05° and γ = 90.00°. The distinct sites, in fractional coordinates, are K at (0.243, 0.000, 0.244), U at (0.000, 0.000, 0.500), S at (0.220, 0.000, 0.647) and Br at (0.039, 0.253, 0.787).


2.
Here is Tb5Er6Th2 after structural relaxation from the Alexandria database. Energies are from PBE.

Its energy is -4.92 eV per atom. For the calculated volume, the calculation gives 32.1 Å³/atom. The value obtained for the size of the total moment is 0.00 μB/f.u.

It has space group Pbam (No. 55), with a = 11.442 Å, b = 20.585 Å, c = 3.542 Å, α = 90.00°, β = 90.00° and γ = 90.00°. The distinct sites, in fractional coordinates, are Tb at (0.000, 0.000, 0.000), Tb at (0.069, 0.293, 0.000), Tb at (0.191, 0.576, 0.000), Er at (0.064, 0.147, 0.500), Er at (0.078, 0.436, 0.500), Er at (0.186, 0.877, 0.000) and Th at (0.186, 0.735, 0.500).


3.
Here is Ca2Y2Ni after structural relaxation from the Alexandria database. Energies are from PBE.

Its energy is -4.44 eV per atom. For the calculated volume, the calculation gives 31.4 Å³/atom. The value obtained for the size of the total moment is 0.00 μB/f.u.

It has space group P4/mbm (No. 127), with a = 7.178 Å, b = 7.178 Å, c = 6.103 Å, α = 90.00°, β = 90.00° and γ = 90.00°. The distinct sites, in fractional coordinates, are Ca at (0.172, 0.328, 0.000), Y at (0.167, 0.667, 0.500) and Ni at (0.000, 0.000, 0.500).


> The lowest calculated volume belongs to which entry?

Ca2Y2Ni


> Among the records above, which one has the lowest calculated volume?

Ca2Y2Ni


> Which of these has the highest calculated volume?

K2US2Br4